LaCo2RuC: optimized geometry, GGA-PBE.

Cell and atoms, written as POSCAR:
```
LaCo2RuC
1.0
-2.444 -2.536 -1.996
3.085 -2.571 -0.512
-0.976 -1.888 3.595
C Co Ru La
1 2 1 1
direct
0.000 0.000 0.000
0.000 0.500 0.000
0.500 0.000 0.000
0.000 0.000 0.500
0.500 0.500 0.500
```

Properties
- total magnetization (Bohr magnetons per cell) = 0.83
- SG = P4/mmm
- ΔH_f (0 K) (eV per atom) = 0.0151
- DOS(E_F) (states/eV/cell) = 2.77
- E (eV/atom) = -7.513

Zr2TcRh: optimized geometry, GGA-PBE.

Cell and atoms, written as POSCAR:
```
Zr2TcRh
1.0
-0.854 -2.218 -2.305
2.708 0.771 -1.743
3.361 -4.606 3.186
Rh Tc Zr
1 1 2
direct
0.500 0.500 0.250
0.500 0.500 0.750
0.000 0.000 0.505
0.000 0.000 0.995
```

Properties
- total magnetization (Bohr magnetons per cell) = 0.00
- SG = P4/mmm
- ΔH_f (0 K) (eV per atom) = -0.6663
- DOS(E_F) (states/eV/cell) = 1.45
- E (eV/atom) = -9.370